Entry 1:
# PBE Cu3AsPd, relaxed
# Energy above the lowest structure with this stoichiometry in eV per atom: 0.526
# Formation energy from the elements in eV per atom: 0.944
# Fermi-level density of states in states/eV/atom: 0.744
# VASP energy in eV/f.u.: -17.41
data_Cu3AsPd
_chemical_formula_sum 'Cu3 As1 Pd1'
_symmetry_space_group_name_H-M 'P m -3 m'
_symmetry_Int_Tables_number 221
_symmetry_space_group_name_Hall '-P 4 2 3'
_cell_length_a 4.623
_cell_length_b 4.623
_cell_length_c 4.623
_cell_angle_alpha 90.00
_cell_angle_beta 90.00
_cell_angle_gamma 90.00
loop_
_atom_site_label
_atom_site_fract_x
_atom_site_fract_y
_atom_site_fract_z
Cu1 0.000 0.000 0.500
As1 0.500 0.500 0.500
Pd1 0.000 0.000 0.000


Entry 2:
# PBE SrPrGdMg, relaxed
# Formation energy from the elements in eV per atom: 0.133
# Fermi-level density of states in states/eV/atom: 1.485
# VASP energy in eV/f.u.: -21.61
data_SrPrGdMg
_chemical_formula_sum 'Sr4 Pr4 Gd4 Mg4'
_symmetry_space_group_name_H-M 'F -4 3 m'
_symmetry_Int_Tables_number 216
_symmetry_space_group_name_Hall 'F -4 2 3'
_cell_length_a 8.235
_cell_length_b 8.235
_cell_length_c 8.235
_cell_angle_alpha 90.00
_cell_angle_beta 90.00
_cell_angle_gamma 90.00
loop_
_atom_site_label
_atom_site_fract_x
_atom_site_fract_y
_atom_site_fract_z
Sr1 0.000 0.000 0.000
Pr1 0.000 0.000 0.500
Gd1 0.250 0.250 0.750
Mg1 0.250 0.250 0.250


Entry 3:
# PBE YbSm3, relaxed
# Energy above the lowest structure with this stoichiometry in eV per atom: 0.000
# Formation energy from the elements in eV per atom: 0.000
# Fermi-level density of states in states/eV/atom: 1.375
# VASP energy in eV/f.u.: -15.68
data_YbSm3
_chemical_formula_sum 'Yb2 Sm6'
_symmetry_space_group_name_H-M 'I 4/m m m'
_symmetry_Int_Tables_number 139
_symmetry_space_group_name_Hall '-I 4 2'
_cell_length_a 5.128
_cell_length_b 5.128
_cell_length_c 10.291
_cell_angle_alpha 90.00
_cell_angle_beta 90.00
_cell_angle_gamma 90.00
loop_
_atom_site_label
_atom_site_fract_x
_atom_site_fract_y
_atom_site_fract_z
Yb1 0.000 0.000 0.000
Sm1 0.000 0.000 0.500
Sm2 0.000 0.500 0.250


Entry 4:
# PBE TeAsSe2Br, relaxed
# Energy above the lowest structure with this stoichiometry in eV per atom: 0.000
# Fermi-level density of states in states/eV/atom: 0.661
# VASP energy in eV/f.u.: -14.47
data_TeAsSe2Br
_chemical_formula_sum 'Te1 As1 Se2 Br1'
_symmetry_space_group_name_H-M 'P 4/m m m'
_symmetry_Int_Tables_number 123
_symmetry_space_group_name_Hall '-P 4 2'
_cell_length_a 5.165
_cell_length_b 5.165
_cell_length_c 5.041
_cell_angle_alpha 90.00
_cell_angle_beta 90.00
_cell_angle_gamma 90.00
loop_
_atom_site_label
_atom_site_fract_x
_atom_site_fract_y
_atom_site_fract_z
Te1 0.000 0.000 0.000
As1 0.500 0.500 0.500
Se1 0.000 0.500 0.500
Br1 0.500 0.500 0.000


Entry 5:
# PBE Y2TlCl, relaxed
# Energy above the lowest structure with this stoichiometry in eV per atom: 0.139
# Fermi-level density of states in states/eV/atom: 0.627
# VASP energy in eV/f.u.: -20.15
data_Y2TlCl
_chemical_formula_sum 'Y4 Tl2 Cl2'
_symmetry_space_group_name_H-M 'C 1 2/m 1'
_symmetry_Int_Tables_number 12
_symmetry_space_group_name_Hall '-C 2y'
_cell_length_a 8.209
_cell_length_b 3.886
_cell_length_c 7.142
_cell_angle_alpha 90.00
_cell_angle_beta 109.32
_cell_angle_gamma 90.00
loop_
_atom_site_label
_atom_site_fract_x
_atom_site_fract_y
_atom_site_fract_z
Y1 0.230 0.000 0.238
Tl1 0.000 0.000 0.500
Cl1 0.000 0.500 0.000


Entry 6:
# PBE ThTl2Te3, relaxed
# Fermi-level density of states in states/eV/atom: 0.000
# VASP energy in eV/f.u.: -26.45
data_ThTl2Te3
_chemical_formula_sum 'Th4 Tl8 Te12'
_symmetry_space_group_name_H-M 'C 1 2/m 1'
_symmetry_Int_Tables_number 12
_symmetry_space_group_name_Hall '-C 2y'
_cell_length_a 8.135
_cell_length_b 13.951
_cell_length_c 8.490
_cell_angle_alpha 90.00
_cell_angle_beta 108.19
_cell_angle_gamma 90.00
loop_
_atom_site_label
_atom_site_fract_x
_atom_site_fract_y
_atom_site_fract_z
Th1 0.000 0.168 0.000
Tl1 0.000 0.000 0.500
Tl2 0.000 0.342 0.500
Tl3 0.000 0.500 0.000
Te1 0.211 0.000 0.215
Te2 0.242 0.181 0.773


Entry 7:
# PBE Tb2SmHoSc, relaxed
# Formation energy from the elements in eV per atom: 0.346
# Fermi-level density of states in states/eV/atom: 1.329
# VASP energy in eV/f.u.: -23.16
data_Tb2SmHoSc
_chemical_formula_sum 'Tb8 Sm4 Ho4 Sc4'
_symmetry_space_group_name_H-M 'C m c m'
_symmetry_Int_Tables_number 63
_symmetry_space_group_name_Hall '-C 2c 2'
_cell_length_a 8.192
_cell_length_b 11.253
_cell_length_c 7.083
_cell_angle_alpha 90.00
_cell_angle_beta 90.00
_cell_angle_gamma 90.00
loop_
_atom_site_label
_atom_site_fract_x
_atom_site_fract_y
_atom_site_fract_z
Tb1 0.198 0.000 0.000
Sm1 0.000 0.230 0.250
Ho1 0.000 0.235 0.750
Sc1 0.000 0.494 0.250


Entry 8:
# PBE K2PbAu2O6, relaxed
# Fermi-level density of states in states/eV/atom: 0.509
# VASP energy in eV/f.u.: -47.69
data_K2PbAu2O6
_chemical_formula_sum 'K6 Pb3 Au6 O18'
_symmetry_space_group_name_H-M 'R -3 m'
_symmetry_Int_Tables_number 166
_symmetry_space_group_name_Hall '-R 3 2"'
_cell_length_a 6.2701
_cell_length_b 6.2701
_cell_length_c 18.4461
_cell_angle_alpha 90.00
_cell_angle_beta 90.00
_cell_angle_gamma 120.00
loop_
_atom_site_label
_atom_site_fract_x
_atom_site_fract_y
_atom_site_fract_z
K1 0.0000 0.0000 0.2072
Pb1 0.0000 0.0000 0.0000
Au1 0.0000 0.0000 0.4096
O1 0.0331 0.5166 0.7490


Entry 9:
# PBE Ca3Si2Ni3, relaxed
# Energy above the lowest structure with this stoichiometry in eV per atom: 0.094
# Fermi-level density of states in states/eV/atom: 0.660
# VASP energy in eV/f.u.: -37.51
data_Ca3Si2Ni3
_chemical_formula_sum 'Ca12 Si8 Ni12'
_symmetry_space_group_name_H-M 'P n m a'
_symmetry_Int_Tables_number 62
_symmetry_space_group_name_Hall '-P 2ac 2n'
_cell_length_a 15.846
_cell_length_b 3.931
_cell_length_c 11.577
_cell_angle_alpha 90.00
_cell_angle_beta 90.00
_cell_angle_gamma 90.00
loop_
_atom_site_label
_atom_site_fract_x
_atom_site_fract_y
_atom_site_fract_z
Ca1 0.144 0.250 0.104
Ca2 0.146 0.250 0.439
Ca3 0.158 0.250 0.773
Si1 0.006 0.750 0.352
Si2 0.047 0.750 0.943
Ni1 0.008 0.750 0.134
Ni2 0.015 0.750 0.747
Ni3 0.038 0.750 0.545


Number 1: spin magnetization 0.0000 μB/atom. Number 2: spin magnetization 1.7959 μB/atom. Number 3: spin magnetization 0.0000 μB/atom. Number 4: spin magnetization 0.0000 μB/atom. Number 5: spin magnetization 0.0000 μB/atom. Number 6: spin magnetization 0.0000 μB/atom. Number 7: spin magnetization 0.0000 μB/atom. Number 8: spin magnetization 0.0000 μB/atom. Number 9: spin magnetization 0.0000 μB/atom.